Record 1
The following is a PBE calculation of a relaxed Y2HfMo crystal, from OQMD.

Values from the calculation:
Calculated total energy   -8.066 eV per atom
Energy relative to the elements   0.37 eV/atom
Total magnetization   0.0 μB/f.u.
Crystal system   cubic

Lattice parameters (Å, degrees): 7.194 7.194 7.194 90.00 90.00 90.00
Space group F-43m (No. 216)
Asymmetric unit:
Y (0.000, 0.000, 0.000) (multiplicity 4)
Y (0.250, 0.250, 0.250) (multiplicity 4)
Hf (0.000, 0.000, 0.500) (multiplicity 4)
Mo (0.250, 0.250, 0.750) (multiplicity 4)

=====

Record 2
The following is a PBE calculation of a relaxed AcIrNO crystal, from OQMD.

Values from the calculation:
Calculated total energy   -7.387 eV per atom
Total magnetization   0.2 μB/f.u.
Relative energy among the computed polymorphs   406 meV per atom
Crystal system   orthorhombic

Lattice parameters (Å, degrees): 7.131 6.876 5.521 90.00 90.00 90.00
Space group Pca2_1 (No. 29)
Asymmetric unit:
Ac (0.075, 0.226, 0.000) (multiplicity 4)
Ir (0.136, 0.694, 0.984) (multiplicity 4)
N (0.053, 0.128, 0.505) (multiplicity 4)
O (0.219, 0.510, 0.716) (multiplicity 4)

=====

Record 3
The following is a PBE calculation of a relaxed BW2Au crystal, from OQMD.

Values from the calculation:
Calculated total energy   -7.785 eV per atom
Total magnetization   0.0 μB/f.u.
Crystal system   cubic

Lattice parameters (Å, degrees): 6.195 6.195 6.195 90.00 90.00 90.00
Space group F-43m (No. 216)
Asymmetric unit:
B (0.000, 0.000, 0.000) (multiplicity 4)
W (0.000, 0.000, 0.500) (multiplicity 4)
W (0.250, 0.250, 0.750) (multiplicity 4)
Au (0.250, 0.250, 0.250) (multiplicity 4)

=====

Record 4
The following is a PBE calculation of a relaxed SmTm3C crystal, from OQMD.

Values from the calculation:
Calculated total energy   -5.509 eV per atom
Total magnetization   0.0 μB/f.u.
Crystal system   cubic

Lattice parameters (Å, degrees): 4.975 4.975 4.975 90.00 90.00 90.00
Space group Pm-3m (No. 221)
Asymmetric unit:
Sm (0.000, 0.000, 0.000) (multiplicity 1)
Tm (0.000, 0.500, 0.500) (multiplicity 3)
C (0.500, 0.500, 0.500) (multiplicity 1)

=====

Copy entry 1 word for word.
The following is a PBE calculation of a relaxed Y2HfMo crystal, from OQMD.

Values from the calculation:
Calculated total energy   -8.066 eV per atom
Energy relative to the elements   0.37 eV/atom
Total magnetization   0.0 μB/f.u.
Crystal system   cubic

Lattice parameters (Å, degrees): 7.194 7.194 7.194 90.00 90.00 90.00
Space group F-43m (No. 216)
Asymmetric unit:
Y (0.000, 0.000, 0.000) (multiplicity 4)
Y (0.250, 0.250, 0.250) (multiplicity 4)
Hf (0.000, 0.000, 0.500) (multiplicity 4)
Mo (0.250, 0.250, 0.750) (multiplicity 4)

=====

> Look up the total magnetization of the fourth one.

0.0 μB/f.u.